Entry from Alexandria via LeMat-Bulk: a PBEsol-optimized structure of Ag2TeSe (meta-GGA SCAN).

CIF file:
```
data_Ag2TeSe
_cell_length_a 4.5918
_cell_length_b 4.8782
_cell_length_c 4.8782
_cell_angle_alpha 106.31
_cell_angle_beta 108.55
_cell_angle_gamma 108.55
_symmetry_space_group_name_H-M 'P 1'
_symmetry_Int_Tables_number 1
_symmetry_space_group_name_Hall 'P 1'
loop_
_atom_site_label
_atom_site_type_symbol
_atom_site_fract_x
_atom_site_fract_y
_atom_site_fract_z
_atom_site_occupancy
Se1 Se 0.5000 0.0000 0.0000 1
Ag1 Ag 0.0000 0.5000 0.0000 1
Ag2 Ag 0.0000 0.0000 0.5000 1
Te1 Te 0.5000 0.5000 0.5000 1
```

Results
The raw formation energy is 0.0251 eV/atom.


Entry from Alexandria via LeMat-Bulk: a PBEsol-optimized structure of AgTeSe2 (meta-GGA SCAN).

CIF file:
```
data_AgTeSe2
_cell_length_a 4.0484
_cell_length_b 4.0484
_cell_length_c 5.5881
_cell_angle_alpha 90.00
_cell_angle_beta 90.00
_cell_angle_gamma 90.00
_symmetry_space_group_name_H-M 'P 1'
_symmetry_Int_Tables_number 1
_symmetry_space_group_name_Hall 'P 1'
loop_
_atom_site_label
_atom_site_type_symbol
_atom_site_fract_x
_atom_site_fract_y
_atom_site_fract_z
_atom_site_occupancy
Te1 Te 0.0000 0.0000 0.0000 1
Se1 Se 0.0000 0.0000 0.5000 1
Se2 Se 0.5000 0.5000 0.0000 1
Ag1 Ag 0.5000 0.5000 0.5000 1
```

Results
The raw formation energy is -0.0404 eV/atom.


Entry from Alexandria via LeMat-Bulk: a PBEsol-optimized structure of AgTe2Se (meta-GGA SCAN).

CIF file:
```
data_AgTe2Se
_cell_length_a 4.0842
_cell_length_b 5.0644
_cell_length_c 5.0644
_cell_angle_alpha 110.30
_cell_angle_beta 90.00
_cell_angle_gamma 90.00
_symmetry_space_group_name_H-M 'P 1'
_symmetry_Int_Tables_number 1
_symmetry_space_group_name_Hall 'P 1'
loop_
_atom_site_label
_atom_site_type_symbol
_atom_site_fract_x
_atom_site_fract_y
_atom_site_fract_z
_atom_site_occupancy
Te1 Te 0.0000 0.0055 0.9945 1
Te2 Te 0.5000 0.7384 0.2616 1
Se1 Se 0.5000 0.2678 0.7322 1
Ag1 Ag 0.0000 0.4899 0.5101 1
```

Results
The raw formation energy is -0.0150 eV/atom.


Entry from Alexandria via LeMat-Bulk: a PBEsol-optimized structure of Ag2TeSe (meta-GGA SCAN).

CIF file:
```
data_Ag2TeSe
_cell_length_a 3.9171
_cell_length_b 3.9171
_cell_length_c 6.8679
_cell_angle_alpha 89.97
_cell_angle_beta 106.55
_cell_angle_gamma 120.11
_symmetry_space_group_name_H-M 'P 1'
_symmetry_Int_Tables_number 1
_symmetry_space_group_name_Hall 'P 1'
loop_
_atom_site_label
_atom_site_type_symbol
_atom_site_fract_x
_atom_site_fract_y
_atom_site_fract_z
_atom_site_occupancy
Se1 Se 0.5000 0.5000 0.0000 1
Te1 Te 0.5000 0.0000 0.5000 1
Ag1 Ag 0.0111 0.7556 0.7667 1
Ag2 Ag 0.9889 0.2444 0.2333 1
```

Results
The raw formation energy is -0.0343 eV/atom.


Entry from Alexandria via LeMat-Bulk: a PBEsol-optimized structure of AgTe2Se (meta-GGA SCAN).

CIF file:
```
data_AgTe2Se
_cell_length_a 4.0556
_cell_length_b 5.0761
_cell_length_c 5.0761
_cell_angle_alpha 106.68
_cell_angle_beta 90.00
_cell_angle_gamma 90.00
_symmetry_space_group_name_H-M 'P 1'
_symmetry_Int_Tables_number 1
_symmetry_space_group_name_Hall 'P 1'
loop_
_atom_site_label
_atom_site_type_symbol
_atom_site_fract_x
_atom_site_fract_y
_atom_site_fract_z
_atom_site_occupancy
Te1 Te 0.0000 0.2574 0.7426 1
Te2 Te 0.0000 0.7426 0.2574 1
Ag1 Ag 0.5000 0.5000 0.5000 1
Se1 Se 0.5000 0.0000 0.0000 1
```

Results
The raw formation energy is 0.0221 eV/atom.


Entry from Alexandria via LeMat-Bulk: a PBEsol-optimized structure of AgTe2Se (meta-GGA SCAN).

CIF file:
```
data_AgTe2Se
_cell_length_a 4.2663
_cell_length_b 4.2663
_cell_length_c 5.6122
_cell_angle_alpha 90.00
_cell_angle_beta 90.00
_cell_angle_gamma 90.00
_symmetry_space_group_name_H-M 'P 1'
_symmetry_Int_Tables_number 1
_symmetry_space_group_name_Hall 'P 1'
loop_
_atom_site_label
_atom_site_type_symbol
_atom_site_fract_x
_atom_site_fract_y
_atom_site_fract_z
_atom_site_occupancy
Ag1 Ag 0.0000 0.0000 0.5000 1
Te1 Te 0.5000 0.5000 0.0000 1
Te2 Te 0.0000 0.0000 0.0000 1
Se1 Se 0.5000 0.5000 0.5000 1
```

Results
The raw formation energy is -0.0048 eV/atom.


Entry from Alexandria via LeMat-Bulk: a PBEsol-optimized structure of AgTeSe2 (meta-GGA SCAN).

CIF file:
```
data_AgTeSe2
_cell_length_a 4.8916
_cell_length_b 4.8916
_cell_length_c 4.8916
_cell_angle_alpha 109.40
_cell_angle_beta 109.40
_cell_angle_gamma 109.61
_symmetry_space_group_name_H-M 'P 1'
_symmetry_Int_Tables_number 1
_symmetry_space_group_name_Hall 'P 1'
loop_
_atom_site_label
_atom_site_type_symbol
_atom_site_fract_x
_atom_site_fract_y
_atom_site_fract_z
_atom_site_occupancy
Se1 Se 0.0000 0.5000 0.5000 1
Se2 Se 0.5000 0.0000 0.5000 1
Te1 Te 0.5000 0.5000 0.0000 1
Ag1 Ag 0.0000 0.0000 0.0000 1
```

Results
The raw formation energy is -0.0109 eV/atom.


Entry from Alexandria via LeMat-Bulk: a PBEsol-optimized structure of AgTe2Se (meta-GGA SCAN).

CIF file:
```
data_AgTe2Se
_cell_length_a 4.1475
_cell_length_b 4.1475
_cell_length_c 6.4713
_cell_angle_alpha 108.69
_cell_angle_beta 108.69
_cell_angle_gamma 90.00
_symmetry_space_group_name_H-M 'P 1'
_symmetry_Int_Tables_number 1
_symmetry_space_group_name_Hall 'P 1'
loop_
_atom_site_label
_atom_site_type_symbol
_atom_site_fract_x
_atom_site_fract_y
_atom_site_fract_z
_atom_site_occupancy
Te1 Te 0.9996 0.9996 0.9992 1
Te2 Te 0.2530 0.2530 0.5060 1
Ag1 Ag 0.5036 0.5036 0.0071 1
Se1 Se 0.7438 0.7438 0.4877 1
```

Results
The raw formation energy is -0.0152 eV/atom.


Entry from Alexandria via LeMat-Bulk: a PBEsol-optimized structure of Ag2TeSe (meta-GGA SCAN).

CIF file:
```
data_Ag2TeSe
_cell_length_a 3.8675
_cell_length_b 4.6895
_cell_length_c 5.1044
_cell_angle_alpha 106.73
_cell_angle_beta 90.00
_cell_angle_gamma 90.00
_symmetry_space_group_name_H-M 'P 1'
_symmetry_Int_Tables_number 1
_symmetry_space_group_name_Hall 'P 1'
loop_
_atom_site_label
_atom_site_type_symbol
_atom_site_fract_x
_atom_site_fract_y
_atom_site_fract_z
_atom_site_occupancy
Se1 Se 0.5000 0.0000 0.5000 1
Te1 Te 0.5000 0.5000 0.0000 1
Ag1 Ag 0.0000 0.7642 0.7410 1
Ag2 Ag 0.0000 0.2358 0.2590 1
```

Results
The raw formation energy is 0.0117 eV/atom.


Entry from Alexandria via LeMat-Bulk: a PBEsol-optimized structure of AgTeSe2 (meta-GGA SCAN).

CIF file:
```
data_AgTeSe2
_cell_length_a 4.0592
_cell_length_b 4.0757
_cell_length_c 6.2557
_cell_angle_alpha 109.01
_cell_angle_beta 109.00
_cell_angle_gamma 90.00
_symmetry_space_group_name_H-M 'P 1'
_symmetry_Int_Tables_number 1
_symmetry_space_group_name_Hall 'P 1'
loop_
_atom_site_label
_atom_site_type_symbol
_atom_site_fract_x
_atom_site_fract_y
_atom_site_fract_z
_atom_site_occupancy
Ag1 Ag 0.2476 0.2472 0.4945 1
Te1 Te 0.5023 0.5027 0.0053 1
Se1 Se 0.7469 0.7464 0.4927 1
Se2 Se 0.0032 0.0037 0.0075 1
```

Results
The raw formation energy is -0.0115 eV/atom.